{"formula": "CuBiH6Ir2", "functional": "PBE", "state": "optimized geometry", "lattice_angstrom": [[-5.9185, -2.4286, -1.8475], [1.8298, -6.2366, 1.4482], [-0.7177, 2.4424, 4.5093]], "species": ["Cu", "Cu", "Bi", "Bi", "H", "H", "H", "H", "H", "H", "H", "H", "H", "H", "H", "H", "Ir", "Ir", "Ir", "Ir"], "frac_coords": [[0.7177, 0.2823, 0.2500], [0.2823, 0.7177, 0.7500], [0.1234, 0.8766, 0.2500], [0.8766, 0.1234, 0.7500], [0.0534, 0.4475, 0.1676], [0.5525, 0.9466, 0.3324], [0.9466, 0.5525, 0.8324], [0.4475, 0.0534, 0.6676], [0.3351, 0.2260, 0.2783], [0.7740, 0.6649, 0.2217], [0.6649, 0.7740, 0.7217], [0.2260, 0.3351, 0.7783], [0.3287, 0.4923, 0.5102], [0.5077, 0.6713, 0.9898], [0.6713, 0.5077, 0.4898], [0.4923, 0.3287, 0.0102], [0.3248, 0.1253, 0.8982], [0.8747, 0.6752, 0.6018], [0.6752, 0.8747, 0.1018], [0.1253, 0.3248, 0.3982]], "dos_at_fermi_per_ev_cell": 2.20, "energy_ev_per_cell": -89.52, "crystal_system": "monoclinic"}

{"formula": "La2CuBiH", "functional": "PBE", "state": "optimized geometry", "lattice_angstrom": [[5.2259, 0.0000, 0.0000], [0.0000, 5.2259, 0.0000], [0.0000, 0.0000, 4.2146]], "species": ["H", "Bi", "Cu", "La", "La"], "frac_coords": [[0.0000, 0.0000, 0.0000], [0.5000, 0.5000, 0.5000], [0.0000, 0.0000, 0.5000], [0.0000, 0.5000, 0.0000], [0.5000, 0.0000, 0.0000]], "dos_at_fermi_per_ev_cell": 3.72, "energy_ev_per_cell": -23.51, "crystal_system": "tetragonal"}

{"formula": "CuNiBi2H", "functional": "PBE", "state": "optimized geometry", "lattice_angstrom": [[-0.3571, -5.2983, 0.3585], [2.1821, 0.0129, 2.3640], [-3.8946, 0.5055, 3.5922]], "species": ["Ni", "Bi", "Bi", "Cu", "H"], "frac_coords": [[0.5000, 0.5000, 0.5000], [0.0000, 0.0000, 0.5000], [0.5000, 0.0000, 0.0000], [0.0000, 0.0000, 0.0000], [0.0000, 0.5000, 0.0000]], "dos_at_fermi_per_ev_cell": 3.05, "energy_ev_per_cell": -19.05, "crystal_system": "tetragonal"}

{"formula": "CuBi2HO", "functional": "PBE", "state": "optimized geometry", "lattice_angstrom": [[-3.6254, 2.1594, 3.1888], [-0.8990, -2.7154, 0.8168], [3.5038, 0.0318, 3.9620]], "species": ["O", "H", "Bi", "Bi", "Cu"], "frac_coords": [[0.0000, 0.5000, 0.0000], [0.0000, 0.0000, 0.0000], [0.0000, 0.0000, 0.5000], [0.5000, 0.0000, 0.0000], [0.5000, 0.5000, 0.5000]], "dos_at_fermi_per_ev_cell": 1.46, "energy_ev_per_cell": -19.17, "crystal_system": "tetragonal"}

{"formula": "CuBiH2O4", "functional": "PBE", "state": "optimized geometry", "lattice_angstrom": [[-3.6339, 2.0447, 2.2305], [-3.9859, 1.0667, -2.4591], [-3.6581, -2.7080, 1.5354]], "species": ["Cu", "Bi", "H", "H", "O", "O", "O", "O"], "frac_coords": [[0.5000, 0.5000, 0.5000], [0.0000, 0.0000, 0.0000], [0.1885, 0.3115, 0.3115], [0.8115, 0.6885, 0.6885], [0.4148, 0.2001, 0.4169], [0.0317, 0.7999, 0.5831], [0.9683, 0.4169, 0.2001], [0.5852, 0.5831, 0.7999]], "dos_at_fermi_per_ev_cell": 0.74, "energy_ev_per_cell": -40.49, "crystal_system": "orthorhombic"}

{"formula": "CuBi2PH", "functional": "PBE", "state": "optimized geometry", "lattice_angstrom": [[5.3850, 0.0000, 0.0000], [0.0000, 3.3295, 0.0000], [0.0000, 0.0000, 5.3850]], "species": ["P", "Bi", "Bi", "Cu", "H"], "frac_coords": [[0.5000, 0.5000, 0.5000], [0.0000, 0.0000, 0.5000], [0.5000, 0.0000, 0.0000], [0.0000, 0.0000, 0.0000], [0.0000, 0.5000, 0.0000]], "dos_at_fermi_per_ev_cell": 1.91, "energy_ev_per_cell": -18.90, "crystal_system": "tetragonal"}

{"formula": "CuBiHPb2", "functional": "PBE", "state": "optimized geometry", "lattice_angstrom": [[-2.6676, -1.0246, 5.1367], [-3.8789, -3.4873, -2.7100], [2.0262, -2.6593, 0.5218]], "species": ["Pb", "Pb", "H", "Bi", "Cu"], "frac_coords": [[0.0000, 0.5000, 0.0000], [0.5000, 0.0000, 0.0000], [0.0000, 0.0000, 0.5000], [0.5000, 0.5000, 0.5000], [0.0000, 0.0000, 0.0000]], "dos_at_fermi_per_ev_cell": 2.38, "energy_ev_per_cell": -17.68, "crystal_system": "tetragonal"}

{"formula": "CuBi3H2Pd9", "functional": "PBE", "state": "optimized geometry", "lattice_angstrom": [[-5.3839, -1.1733, 1.4249], [4.2837, -2.7158, 2.5823], [0.2600, 6.1918, 6.0807]], "species": ["Cu", "Bi", "Bi", "Bi", "H", "H", "Pd", "Pd", "Pd", "Pd", "Pd", "Pd", "Pd", "Pd", "Pd"], "frac_coords": [[0.0000, 0.0000, 0.5000], [0.3333, 0.6667, 0.6109], [0.0000, 0.0000, 0.0000], [0.6667, 0.3333, 0.3891], [0.3333, 0.6667, 0.1147], [0.6667, 0.3333, 0.8853], [0.8300, 0.1700, 0.7196], [0.8300, 0.6599, 0.7196], [0.3401, 0.1700, 0.7196], [0.6599, 0.8300, 0.2804], [0.1700, 0.3401, 0.2804], [0.1700, 0.8300, 0.2804], [0.5000, 0.0000, 0.0000], [0.0000, 0.5000, 0.0000], [0.5000, 0.5000, 0.0000]], "dos_at_fermi_per_ev_cell": 8.00, "energy_ev_per_cell": -71.23, "crystal_system": "trigonal"}

{"formula": "CuBiHPd2", "functional": "PBE", "state": "optimized geometry", "lattice_angstrom": [[4.2086, 0.0000, 0.0000], [0.0000, 4.2086, 0.0000], [0.0000, 0.0000, 4.0780]], "species": ["H", "Cu", "Bi", "Pd", "Pd"], "frac_coords": [[0.0000, 0.0000, 0.0000], [0.0000, 0.0000, 0.5000], [0.5000, 0.5000, 0.5000], [0.0000, 0.5000, 0.0000], [0.5000, 0.0000, 0.0000]], "dos_at_fermi_per_ev_cell": 1.30, "energy_ev_per_cell": -21.96, "crystal_system": "tetragonal"}

{"formula": "Cu2BiHPd", "functional": "PBE", "state": "optimized geometry", "lattice_angstrom": [[4.1889, 0.0000, 0.0000], [0.0000, 4.1889, 0.0000], [0.0000, 0.0000, 3.9868]], "species": ["H", "Cu", "Cu", "Bi", "Pd"], "frac_coords": [[0.0000, 0.0000, 0.0000], [0.0000, 0.5000, 0.0000], [0.5000, 0.0000, 0.0000], [0.5000, 0.5000, 0.5000], [0.0000, 0.0000, 0.5000]], "dos_at_fermi_per_ev_cell": 1.83, "energy_ev_per_cell": -20.11, "crystal_system": "tetragonal"}

{"formula": "CuBiHPt2", "functional": "PBE", "state": "optimized geometry", "lattice_angstrom": [[4.0911, 0.0000, 0.0000], [0.0000, 4.0911, 0.0000], [0.0000, 0.0000, 4.4287]], "species": ["H", "Cu", "Bi", "Pt", "Pt"], "frac_coords": [[0.0000, 0.0000, 0.0000], [0.0000, 0.0000, 0.5000], [0.5000, 0.5000, 0.5000], [0.0000, 0.5000, 0.0000], [0.5000, 0.0000, 0.0000]], "dos_at_fermi_per_ev_cell": 2.04, "energy_ev_per_cell": -23.02, "crystal_system": "tetragonal"}

{"formula": "CuBiHRh2", "functional": "PBE", "state": "optimized geometry", "lattice_angstrom": [[-2.2709, -1.3514, -3.1942], [-2.2930, -2.2795, 2.5946], [-2.4541, 3.0066, 0.4727]], "species": ["H", "Rh", "Rh", "Bi", "Cu"], "frac_coords": [[0.0000, 0.0000, 0.0000], [0.0000, 0.5000, 0.0000], [0.5000, 0.0000, 0.0000], [0.5000, 0.5000, 0.5000], [0.0000, 0.0000, 0.5000]], "dos_at_fermi_per_ev_cell": 2.29, "energy_ev_per_cell": -26.00, "crystal_system": "tetragonal"}